## Hf2GeP (PBE-GGA)

Data for crystalline Hf2GeP at its relaxed geometry.

Cell and atoms, written as extended XYZ:
```
4
Lattice="-0.0618 3.2269 1.7277 0.9452 0.2042 3.5308 6.5658 2.1953 0.0132" Properties=species:S:1:pos:R:3 pbc="T T T"
P 7.1286 4.4783 3.5261
Hf 5.1664 1.9606 0.4014
Hf 1.7016 1.3797 1.3625
Ge 3.7429 2.8163 2.6307
```

## Properties
SG: No. 160
Calculated volume: 19.128 Å³ per atom
Formation energy from the elements: -859 meV per atom

---

## InP2Au (PBE-GGA)

Data for crystalline InP2Au at its relaxed geometry.

Cell and atoms, written as extended XYZ:
```
4
Lattice="-2.2554 1.7150 4.7747 3.4515 -1.1317 4.1992 0.2391 2.7830 -4.7984" Properties=species:S:1:pos:R:3 pbc="T T T"
P 0.7143 0.3484 5.3597
P 1.0797 0.5266 8.1012
In 2.1443 0.9714 1.9439
Au -0.7092 2.3948 2.2317
```

## Properties
SG: No. 71
Calculated volume: 22.847 Å³ per atom
Formation energy from the elements: 353 meV per atom

---

## K4Tl3CdO8 (PBE-GGA)

Data for crystalline K4Tl3CdO8 at its relaxed geometry.

Cell and atoms, written as extended XYZ:
```
16
Lattice="-3.5893 -1.9830 5.6520 5.2952 -4.8639 1.6562 1.8019 6.7005 -0.8184" Properties=species:S:1:pos:R:3 pbc="T T T"
O 4.5824 2.6089 1.6781
O 1.9063 -1.7299 4.9172
O 1.6015 1.5836 1.5726
O 3.6856 -0.7248 2.0863
O 0.7121 -1.7682 1.9982
O -1.0746 -2.7553 4.8117
O -0.1779 0.5784 4.4036
O 2.7957 1.6218 4.4916
Cd 2.6476 -2.4319 0.8281
Tl 1.7539 -0.0732 3.2449
Tl 0.8529 -3.4234 3.6541
Tl 3.5486 0.9183 0.4189
K -1.7947 -0.9915 2.8260
K 0.0000 0.0000 0.0000
K 0.9010 3.3503 -0.4092
K -0.8937 2.3588 2.4168
```

## Properties
SG: No. 166
Calculated volume: 16.319 Å³ per atom
Raw formation energy: -1.008 eV per atom

---

## Mn2BeHg (PBE-GGA)

Data for crystalline Mn2BeHg at its relaxed geometry.

Cell and atoms, written as extended XYZ:
```
4
Lattice="-4.1885 -1.0182 -0.6656 -2.5666 -0.9951 3.3831 -3.1395 2.7612 1.2419" Properties=species:S:1:pos:R:3 pbc="T T T"
Be -4.9473 0.3739 1.9797
Hg -7.4209 0.5609 2.9696
Mn 0.0000 0.0000 0.0000
Mn -2.4736 0.1870 0.9899
```

## Properties
SG: No. 216
Calculated volume: 14.667 Å³ per atom
Formation energy from the elements: 515 meV per atom

---

## InSnAs2Se (PBE-GGA)

Data for crystalline InSnAs2Se at its relaxed geometry.

Cell and atoms, written as extended XYZ:
```
5
Lattice="5.1407 0.0000 0.0000 0.0000 5.3473 0.0000 0.0000 0.0000 5.1407" Properties=species:S:1:pos:R:3 pbc="T T T"
Sn 2.5704 2.6736 2.5704
As 0.0000 0.0000 2.5704
As 2.5704 0.0000 0.0000
In 0.0000 2.6736 0.0000
Se 0.0000 0.0000 0.0000
```

## Properties
SG: No. 123
Calculated volume: 28.263 Å³ per atom
Raw formation energy: 0.525 eV per atom

---

## EuNiC (PBE-GGA)

Data for crystalline EuNiC at its relaxed geometry.

Cell and atoms, written as extended XYZ:
```
3
Lattice="4.1547 0.0000 0.0000 0.0000 3.4871 0.0000 0.0000 -1.7435 3.0199" Properties=species:S:1:pos:R:3 pbc="T T T"
Eu 2.7695 0.0000 2.0133
Ni 0.6923 0.0000 0.0000
C 0.6929 1.7435 1.0066
```

## Properties
SG: No. 187
Calculated volume: 14.584 Å³ per atom
Formation energy from the elements: 168 meV per atom

---

## CrTe3Cl (PBE-GGA)

Data for crystalline CrTe3Cl at its relaxed geometry.

Cell and atoms, written as extended XYZ:
```
5
Lattice="5.0852 0.0000 0.0000 0.0000 5.0852 0.0000 0.0000 0.0000 5.0852" Properties=species:S:1:pos:R:3 pbc="T T T"
Te 0.0000 0.0000 2.5426
Te 0.0000 2.5426 0.0000
Te 2.5426 0.0000 0.0000
Cr 0.0000 0.0000 0.0000
Cl 2.5426 2.5426 2.5426
```

## Properties
SG: No. 221
Calculated volume: 26.301 Å³ per atom
Raw formation energy: 0.271 eV per atom

---

## CaSc2Mn (PBE-GGA)

Data for crystalline CaSc2Mn at its relaxed geometry.

Cell and atoms, written as extended XYZ:
```
4
Lattice="5.1357 0.0000 0.0000 2.5678 4.4476 0.0000 2.5678 1.4825 4.1933" Properties=species:S:1:pos:R:3 pbc="T T T"
Ca 5.1357 2.9651 2.0966
Sc 0.0000 0.0000 0.0000
Sc 2.5678 1.4825 1.0483
Mn 7.7035 4.4476 3.1450
```

## Properties
SG: No. 216
Calculated volume: 23.945 Å³ per atom
Formation energy from the elements: 378 meV per atom